# PBE BaSi2P, relaxed
# E	-4.720	eV per atom
# magnetic moment	0.00	μB per formula unit
data_BaSi2P
_cell_length_a 4.124
_cell_length_b 4.186
_cell_length_c 11.228
_cell_angle_alpha 90.00
_cell_angle_beta 90.00
_cell_angle_gamma 90.00
_symmetry_space_group_name_H-M 'P 1'
_symmetry_Int_Tables_number 1
loop_
_symmetry_equiv_pos_as_xyz
'x,y,z'
loop_
_atom_site_label
_atom_site_fract_x
_atom_site_fract_y
_atom_site_fract_z
Ba1 0.000 0.000 0.000
Ba2 0.500 0.500 0.500
Si1 0.000 0.000 0.646
Si2 0.000 0.500 0.266
Si3 0.500 0.000 0.766
Si4 0.500 0.500 0.146
P1 0.000 0.500 0.754
P2 0.500 0.000 0.254

# PBE Ca4AlIr, relaxed
# E	-2.763	eV per atom
# magnetic moment	0.00	μB per formula unit
# ΔE_f	4.0	eV/f.u.
data_Ca4AlIr
_cell_length_a 6.011
_cell_length_b 6.011
_cell_length_c 6.011
_cell_angle_alpha 60.00
_cell_angle_beta 60.00
_cell_angle_gamma 60.00
_symmetry_space_group_name_H-M 'P 1'
_symmetry_Int_Tables_number 1
loop_
_symmetry_equiv_pos_as_xyz
'x,y,z'
loop_
_atom_site_label
_atom_site_fract_x
_atom_site_fract_y
_atom_site_fract_z
Ca1 0.376 0.376 0.376
Ca2 0.376 0.376 0.871
Ca3 0.376 0.871 0.376
Ca4 0.871 0.376 0.376
Al1 0.000 0.000 0.000
Ir1 0.750 0.750 0.750

# PBE CaPmMgTl, relaxed
# E	-2.956	eV per atom
# magnetic moment	0.00	μB per formula unit
# ΔE_f	-1.1	eV/f.u.
data_CaPmMgTl
_cell_length_a 7.748
_cell_length_b 7.748
_cell_length_c 7.748
_cell_angle_alpha 90.00
_cell_angle_beta 90.00
_cell_angle_gamma 90.00
_symmetry_space_group_name_H-M 'P 1'
_symmetry_Int_Tables_number 1
loop_
_symmetry_equiv_pos_as_xyz
'x,y,z'
loop_
_atom_site_label
_atom_site_fract_x
_atom_site_fract_y
_atom_site_fract_z
Ca1 0.000 0.000 0.000
Ca2 0.000 0.500 0.500
Ca3 0.500 0.000 0.500
Ca4 0.500 0.500 0.000
Pm1 0.000 0.000 0.500
Pm2 0.000 0.500 0.000
Pm3 0.500 0.000 0.000
Pm4 0.500 0.500 0.500
Mg1 0.250 0.250 0.250
Mg2 0.250 0.750 0.750
Mg3 0.750 0.250 0.750
Mg4 0.750 0.750 0.250
Tl1 0.250 0.250 0.750
Tl2 0.250 0.750 0.250
Tl3 0.750 0.250 0.250
Tl4 0.750 0.750 0.750

# PBE CdCo2IrC, relaxed
# E	-6.467	eV per atom
# magnetic moment	1.41	μB per formula unit
# ΔE_f	0.9	eV/f.u.
data_CdCo2IrC
_cell_length_a 3.928
_cell_length_b 3.928
_cell_length_c 4.030
_cell_angle_alpha 90.00
_cell_angle_beta 90.00
_cell_angle_gamma 90.00
_symmetry_space_group_name_H-M 'P 1'
_symmetry_Int_Tables_number 1
loop_
_symmetry_equiv_pos_as_xyz
'x,y,z'
loop_
_atom_site_label
_atom_site_fract_x
_atom_site_fract_y
_atom_site_fract_z
Cd1 0.000 0.000 0.000
Co1 0.000 0.500 0.500
Co2 0.500 0.000 0.500
Ir1 0.500 0.500 0.000
C1 0.500 0.500 0.500